# 1
First-principles (PBE-GGA) data for a geometry-optimized Y6Tm2Mg structure, as listed in Alexandria.

Properties
Electronic total energy = -5.451 eV/atom
D(E_F) = 1.608 states/eV/atom
Crystal system = tetragonal
Symmetry = No. 136
Energy relative to the elements = 0.029 eV/atom
Mass density = 5.335 g/cm3

Geometry as POSCAR:
```
Y6Tm2Mg
1.0
-2.484 -4.365 0.469
2.270 -0.190 10.263
-8.864 5.266 2.058
Tm Y Mg
4 12 2
direct
0.500 0.830 0.671 Tm
0.500 0.170 0.329 Tm
0.000 0.670 0.171 Tm
0.000 0.330 0.829 Tm
0.500 0.502 0.332 Y
0.000 0.998 0.832 Y
0.000 0.332 0.497 Y
0.000 0.662 0.838 Y
0.000 0.002 0.168 Y
0.500 0.498 0.668 Y
0.500 0.832 0.003 Y
0.000 0.338 0.162 Y
0.500 0.168 0.997 Y
0.000 0.668 0.503 Y
0.500 0.162 0.662 Y
0.500 0.838 0.338 Y
0.000 0.000 0.500 Mg
0.500 0.500 0.000 Mg
```

---

# 2
First-principles (PBE-GGA) data for a geometry-optimized Y2TmMg4 structure, as listed in Alexandria.

Properties
Electronic total energy = -3.265 eV/atom
D(E_F) = 0.884 states/eV/atom
Crystal system = tetragonal
Symmetry = No. 139
Energy relative to the elements = 0.132 eV/atom
Mass density = 3.546 g/cm3

Geometry as POSCAR:
```
Y2TmMg4
1.0
5.154 0.000 -1.643
-0.524 5.128 -1.643
-0.270 -0.299 8.058
Tm Mg Y
1 4 2
direct
0.000 0.000 0.000 Tm
0.116 0.616 0.232 Mg
0.384 0.884 0.768 Mg
0.616 0.116 0.232 Mg
0.884 0.384 0.768 Mg
0.749 0.749 0.499 Y
0.251 0.251 0.501 Y
```

---

# 3
First-principles (PBE-GGA) data for a geometry-optimized Y4Tm4Mg structure, as listed in Alexandria.

Properties
Electronic total energy = -5.004 eV/atom
D(E_F) = 1.658 states/eV/atom
Crystal system = tetragonal
Symmetry = No. 139
Energy relative to the elements = 0.033 eV/atom
Mass density = 6.397 g/cm3

Geometry as POSCAR:
```
Y4Tm4Mg
1.0
4.956 0.000 0.000
2.478 7.436 0.000
2.478 0.000 7.436
Tm Y Mg
4 4 1
direct
0.000 0.664 0.336 Tm
0.664 0.336 0.336 Tm
0.000 0.336 0.664 Tm
0.336 0.664 0.664 Tm
0.334 0.332 0.000 Y
0.666 0.000 0.668 Y
0.666 0.668 0.000 Y
0.334 0.000 0.332 Y
0.000 0.000 0.000 Mg
```

---

# 4
First-principles (PBE-GGA) data for a geometry-optimized Y5TmMg structure, as listed in Alexandria.

Properties
Electronic total energy = -5.290 eV/atom
D(E_F) = 1.626 states/eV/atom
Crystal system = monoclinic
Symmetry = No. 15
Energy relative to the elements = 0.193 eV/atom
Mass density = 4.757 g/cm3

Geometry as POSCAR:
```
Y5TmMg
1.0
-2.014 -6.440 -5.086
-3.320 -7.693 1.089
-11.191 -4.758 -3.334
Y Mg Tm
10 2 2
direct
0.758 0.242 0.750 Y
0.762 0.749 0.074 Y
0.335 0.346 0.595 Y
0.346 0.335 0.095 Y
0.242 0.758 0.250 Y
0.654 0.665 0.905 Y
0.238 0.251 0.926 Y
0.251 0.238 0.426 Y
0.749 0.762 0.574 Y
0.665 0.654 0.405 Y
0.000 0.000 0.000 Mg
0.000 0.000 0.500 Mg
0.248 0.752 0.750 Tm
0.752 0.248 0.250 Tm
```

---

# 5
First-principles (PBE-GGA) data for a geometry-optimized Y3TmMg2 structure, as listed in Alexandria.

Properties
Electronic total energy = -4.561 eV/atom
D(E_F) = 1.488 states/eV/atom
Crystal system = tetragonal
Symmetry = No. 123
Energy relative to the elements = -0.052 eV/atom
Mass density = 4.636 g/cm3

Geometry as POSCAR:
```
Y3TmMg2
1.0
-3.477 0.284 1.121
-1.156 -0.813 -3.381
-0.047 -12.557 3.034
Mg Y Tm
2 3 1
direct
0.500 0.500 0.155 Mg
0.500 0.500 0.845 Mg
0.000 0.000 0.000 Y
0.000 0.000 0.314 Y
0.000 0.000 0.686 Y
0.500 0.500 0.500 Tm
```

---

# 6
First-principles (PBE-GGA) data for a geometry-optimized Y4TmMg2 structure, as listed in Alexandria.

Properties
Electronic total energy = -4.804 eV/atom
D(E_F) = 1.237 states/eV/atom
Crystal system = trigonal
Symmetry = No. 166
Energy relative to the elements = -0.016 eV/atom
Mass density = 4.639 g/cm3

Geometry as POSCAR:
```
Y4TmMg2
1.0
1.205 -5.202 1.045
1.048 -3.426 -4.096
8.517 -0.994 -0.604
Y Mg Tm
4 2 1
direct
0.575 0.575 0.275 Y
0.425 0.425 0.725 Y
0.846 0.846 0.463 Y
0.154 0.154 0.537 Y
0.712 0.712 0.865 Mg
0.288 0.288 0.135 Mg
0.000 0.000 0.000 Tm
```

---

Number 4 is which compound? Y5TmMg

---

Repeat the sixth record exactly.
First-principles (PBE-GGA) data for a geometry-optimized Y4TmMg2 structure, as listed in Alexandria.

Properties
Electronic total energy = -4.804 eV/atom
D(E_F) = 1.237 states/eV/atom
Crystal system = trigonal
Symmetry = No. 166
Energy relative to the elements = -0.016 eV/atom
Mass density = 4.639 g/cm3

Geometry as POSCAR:
```
Y4TmMg2
1.0
1.205 -5.202 1.045
1.048 -3.426 -4.096
8.517 -0.994 -0.604
Y Mg Tm
4 2 1
direct
0.575 0.575 0.275 Y
0.425 0.425 0.725 Y
0.846 0.846 0.463 Y
0.154 0.154 0.537 Y
0.712 0.712 0.865 Mg
0.288 0.288 0.135 Mg
0.000 0.000 0.000 Tm
```

---

Number 4 is which compound? Y5TmMg